VASP calculation (GGA-PBE) on a relaxed structure of La8Nd2Tl.

Total magnetic moment in μB/f.u.: 0.00
D(E_F) in states/eV per cell: 32.68
Energy relative to the elements in eV/atom: -0.02
Excess energy over the best structure of this formula in the dataset in eV per atom: 0.000

Cell: 17.238 5.798 9.239 Å, 90.00 121.35 90.00°
Space group C2/m (No. 12)
Asymmetric unit:
La (0.073, 0.000, 0.216) (multiplicity 4)
La (0.078, 0.500, 0.927) (multiplicity 4)
La (0.124, 0.000, 0.657) (multiplicity 4)
La (0.179, 0.500, 0.433) (multiplicity 4)
Nd (0.234, 0.000, 0.100) (multiplicity 4)
Tl (0.000, 0.500, 0.500) (multiplicity 2)